Entry from the Alexandria database: Cu3P8Se6Br3 after structural relaxation (PBE).

**Formation energy without anion corrections**: -186 meV per atom
**Space group**: No. 62
**Energy**: -85.211 eV per formula unit

Lattice parameters (Å, degrees): 6.911 11.991 27.473 90.00 90.00 90.00
Atoms (fractional coordinates):
Cu: 0.310 0.639 0.750
Cu: 0.810 0.861 0.750
Cu: 0.690 0.361 0.250
Cu: 0.190 0.139 0.250
Cu: 0.728 0.647 0.502
Cu: 0.228 0.853 0.998
Cu: 0.272 0.353 0.002
Cu: 0.772 0.147 0.498
Cu: 0.272 0.353 0.498
Cu: 0.772 0.147 0.002
Cu: 0.728 0.647 0.998
Cu: 0.228 0.853 0.502
P: 0.399 0.553 0.681
P: 0.899 0.947 0.819
P: 0.601 0.447 0.181
P: 0.101 0.053 0.319
P: 0.601 0.447 0.319
P: 0.101 0.053 0.181
P: 0.399 0.553 0.819
P: 0.899 0.947 0.681
P: 0.370 0.431 0.568
P: 0.870 0.069 0.932
P: 0.630 0.569 0.068
P: 0.130 0.931 0.432
P: 0.630 0.569 0.432
P: 0.130 0.931 0.068
P: 0.370 0.431 0.932
P: 0.870 0.069 0.568
P: 0.659 0.384 0.601
P: 0.159 0.116 0.899
P: 0.341 0.616 0.101
P: 0.841 0.884 0.399
P: 0.341 0.616 0.399
P: 0.841 0.884 0.101
P: 0.659 0.384 0.899
P: 0.159 0.116 0.601
P: 0.610 0.556 0.569
P: 0.110 0.944 0.931
P: 0.390 0.444 0.069
P: 0.890 0.056 0.431
P: 0.390 0.444 0.431
P: 0.890 0.056 0.069
P: 0.610 0.556 0.931
P: 0.110 0.944 0.569
Se: 0.548 0.675 0.630
Se: 0.048 0.825 0.870
Se: 0.452 0.325 0.130
Se: 0.952 0.175 0.370
Se: 0.452 0.325 0.370
Se: 0.952 0.175 0.130
Se: 0.548 0.675 0.870
Se: 0.048 0.825 0.630
Se: 0.171 0.477 0.630
Se: 0.671 0.023 0.870
Se: 0.829 0.523 0.130
Se: 0.329 0.977 0.370
Se: 0.829 0.523 0.370
Se: 0.329 0.977 0.130
Se: 0.171 0.477 0.870
Se: 0.671 0.023 0.630
Se: 0.618 0.410 0.682
Se: 0.118 0.090 0.818
Se: 0.382 0.590 0.182
Se: 0.882 0.910 0.318
Se: 0.382 0.590 0.318
Se: 0.882 0.910 0.182
Se: 0.618 0.410 0.818
Se: 0.118 0.090 0.682
Br: 0.958 0.672 0.750
Br: 0.458 0.828 0.750
Br: 0.042 0.328 0.250
Br: 0.542 0.172 0.250
Br: 0.080 0.665 0.509
Br: 0.580 0.835 0.991
Br: 0.920 0.335 0.009
Br: 0.420 0.165 0.491
Br: 0.920 0.335 0.491
Br: 0.420 0.165 0.009
Br: 0.080 0.665 0.991
Br: 0.580 0.835 0.509


Entry from the Alexandria database: BaLiTl2Hg4 after structural relaxation (PBE).

**Space group**: No. 166
**Energy**: -11.902 eV per formula unit
**ΔH_f (0 K)**: -265.8 meV per atom

Lattice parameters (Å, degrees): 5.280 5.280 9.753 74.29 74.29 60.00
Atoms (fractional coordinates):
Ba: 0.000 0.000 0.000
Li: 0.500 0.500 0.500
Tl: 0.752 0.752 0.743
Tl: 0.248 0.248 0.257
Hg: 0.395 0.395 0.816
Hg: 0.865 0.865 0.406
Hg: 0.135 0.135 0.594
Hg: 0.605 0.605 0.184


Entry from the Alexandria database: Ce3DyHo2Sb6 after structural relaxation (PBE).

**Formation energy without anion corrections**: -1083 meV per atom
**Space group**: No. 12
**Energy**: -69.289 eV per formula unit

Lattice parameters (Å, degrees): 7.688 7.688 7.680 99.61 99.61 119.99
Atoms (fractional coordinates):
Ce: 0.166 0.834 0.500
Ce: 0.834 0.166 0.500
Ce: 0.500 0.500 0.500
Dy: 0.000 0.000 0.000
Ho: 0.333 0.667 0.000
Ho: 0.667 0.333 0.000
Sb: 0.919 0.585 0.757
Sb: 0.747 0.747 0.243
Sb: 0.081 0.415 0.243
Sb: 0.585 0.919 0.757
Sb: 0.253 0.253 0.757
Sb: 0.415 0.081 0.243


Entry from the Alexandria database: PrTcGe after structural relaxation (PBE).

**Offset from the most stable computed form**: 0 meV/atom
**Space group**: No. 12
**Energy**: -21.141 eV per formula unit
**ΔH_f (0 K)**: -459.5 meV per atom

Lattice parameters (Å, degrees): 4.126 4.127 7.670 88.63 88.63 89.85
Atoms (fractional coordinates):
Pr: 0.808 0.861 0.582
Pr: 0.319 0.372 0.257
Tc: 0.774 0.406 0.920
Tc: 0.353 0.827 0.920
Ge: 0.837 0.890 0.129
Ge: 0.290 0.343 0.710


Entry from the Alexandria database: Si2Ru2Pt after structural relaxation (PBE).

**Formation energy without anion corrections**: -479 meV per atom
**Offset from the most stable computed form**: 0 meV/atom
**Space group**: No. 127
**Energy**: -37.834 eV per formula unit

Lattice parameters (Å, degrees): 6.931 6.931 2.837 90.00 90.00 90.00
Atoms (fractional coordinates):
Ru: 0.150 0.650 0.500
Ru: 0.650 0.850 0.500
Ru: 0.850 0.350 0.500
Ru: 0.350 0.150 0.500
Si: 0.353 0.853 0.000
Si: 0.853 0.647 0.000
Si: 0.647 0.147 0.000
Si: 0.147 0.353 0.000
Pt: 0.000 0.000 0.000
Pt: 0.500 0.500 0.000


Entry from the Alexandria database: Sm5CuHg4 after structural relaxation (PBE).

**Space group**: No. 123
**Energy**: -32.947 eV per formula unit
**ΔH_f (0 K)**: -404.8 meV per atom

Lattice parameters (Å, degrees): 3.721 3.721 19.060 90.00 90.00 90.00
Atoms (fractional coordinates):
Sm: 0.500 0.500 0.088
Sm: 0.500 0.500 0.295
Sm: 0.500 0.500 0.500
Sm: 0.500 0.500 0.705
Sm: 0.500 0.500 0.912
Cu: 0.000 0.000 0.000
Hg: 0.000 0.000 0.192
Hg: 0.000 0.000 0.398
Hg: 0.000 0.000 0.602
Hg: 0.000 0.000 0.808


Entry from the Alexandria database: IrPt5Rh2 after structural relaxation (PBE).

**Space group**: No. 2
**Energy**: -52.454 eV per formula unit
**ΔH_f (0 K)**: 164.2 meV per atom

Lattice parameters (Å, degrees): 6.763 7.186 12.168 86.49 74.37 61.91
Atoms (fractional coordinates):
Ir: 0.847 0.986 0.349
Ir: 0.178 0.519 0.149
Ir: 0.822 0.481 0.851
Ir: 0.153 0.014 0.651
Pt: 0.936 0.960 0.122
Pt: 0.104 0.131 0.447
Pt: 0.706 0.279 0.634
Pt: 0.493 0.320 0.272
Pt: 0.086 0.184 0.229
Pt: 0.141 0.288 0.996
Pt: 0.427 0.212 0.502
Pt: 0.012 0.546 0.377
Pt: 0.320 0.629 0.945
Pt: 0.620 0.218 0.866
Pt: 0.380 0.782 0.134
Pt: 0.680 0.371 0.055
Pt: 0.988 0.454 0.623
Pt: 0.573 0.788 0.498
Pt: 0.859 0.712 0.004
Pt: 0.914 0.816 0.771
Pt: 0.507 0.680 0.728
Pt: 0.294 0.721 0.366
Pt: 0.896 0.869 0.553
Pt: 0.064 0.040 0.878
Rh: 0.473 0.058 0.710
Rh: 0.504 0.101 0.087
Rh: 0.691 0.401 0.414
Rh: 0.756 0.563 0.213
Rh: 0.244 0.437 0.787
Rh: 0.309 0.599 0.586
Rh: 0.496 0.899 0.913
Rh: 0.527 0.942 0.290


Entry from the Alexandria database: KTlPtPb after structural relaxation (PBE).

**Space group**: No. 160
**Energy**: -13.924 eV per formula unit
**ΔH_f (0 K)**: -177.8 meV per atom

Lattice parameters (Å, degrees): 4.645 4.645 7.148 71.04 71.04 60.00
Atoms (fractional coordinates):
K: 0.808 0.808 0.575
Tl: 0.027 0.027 0.920
Pt: 0.634 0.634 0.097
Pb: 0.256 0.256 0.231


Entry from the Alexandria database: Ac2Pm3Tl4 after structural relaxation (PBE).

**Offset from the most stable computed form**: 0 meV/atom
**Space group**: No. 14
**Energy**: -35.238 eV per formula unit
**ΔH_f (0 K)**: -367.1 meV per atom

Lattice parameters (Å, degrees): 8.331 8.709 8.761 90.00 90.00 107.74
Atoms (fractional coordinates):
Ac: 0.565 0.187 0.318
Ac: 0.935 0.813 0.818
Ac: 0.435 0.813 0.682
Ac: 0.065 0.187 0.182
Pm: 0.000 0.500 0.500
Pm: 0.500 0.500 0.000
Pm: 0.751 0.244 0.835
Pm: 0.749 0.756 0.335
Pm: 0.249 0.756 0.165
Pm: 0.251 0.244 0.665
Tl: 0.857 0.084 0.540
Tl: 0.643 0.916 0.040
Tl: 0.143 0.916 0.460
Tl: 0.357 0.084 0.960
Tl: 0.869 0.499 0.128
Tl: 0.631 0.501 0.628
Tl: 0.131 0.501 0.872
Tl: 0.369 0.499 0.372


Entry from the Alexandria database: TaAlFe after structural relaxation (PBE).

**Offset from the most stable computed form**: 160 meV/atom
**Space group**: No. 156
**Energy**: -24.577 eV per formula unit
**ΔH_f (0 K)**: -173.2 meV per atom

Lattice parameters (Å, degrees): 4.261 4.261 2.778 90.00 90.00 120.00
Atoms (fractional coordinates):
Al: 0.000 0.000 0.085
Fe: 0.333 0.667 0.306
Ta: 0.667 0.333 0.610


Entry from the Alexandria database: SmLuGaPt after structural relaxation (PBE).

**Space group**: No. 216
**Energy**: -21.668 eV per formula unit
**ΔH_f (0 K)**: -840.1 meV per atom

Lattice parameters (Å, degrees): 5.010 5.010 5.010 60.00 60.00 60.00
Atoms (fractional coordinates):
Ga: 0.250 0.250 0.250
Lu: 0.000 0.000 0.000
Sm: 0.500 0.500 0.500
Pt: 0.750 0.750 0.750


Entry from the Alexandria database: TlCo2Cu after structural relaxation (PBE).

**Offset from the most stable computed form**: 319 meV/atom
**Space group**: No. 166
**Energy**: -17.915 eV per formula unit
**ΔH_f (0 K)**: 689.8 meV per atom

Lattice parameters (Å, degrees): 8.350 8.350 8.350 20.06 20.06 20.06
Atoms (fractional coordinates):
Co: 0.992 0.992 0.992
Co: 0.508 0.508 0.508
Cu: 0.250 0.250 0.250
Tl: 0.750 0.750 0.750